First-principles (PBEsol) data for crystalline CrSb3W at its relaxed geometry, as listed in Alexandria via LeMat-Bulk.

The total DFT energy (no corrections) is -6.19 eV/atom. For the magnetic moment, the calculation gives 4.92 Bohr magnetons per cell. The value obtained for the density is 8.38 g cm⁻³. The value obtained for the density of states at the Fermi level is 0.687 states/eV/atom. For the energy relative to the elements, uncorrected, the calculation gives 1.35 eV/atom.

The space group is Pm-3m (No. 221) and the conventional cell measures 4.921, 4.921 and 4.921 Å, with angles of 90.00, 90.00 and 90.00 degrees. The asymmetric unit holds Cr at (0.000, 0.000, 0.000), Sb at (0.000, 0.000, 0.500) and W at (0.500, 0.500, 0.500).